Record 1
AlPN2 | PBEsol | relaxed Values from VASP.

```
&SYSTEM
  ibrav = 0, nat = 8, ntyp = 3
/
ATOMIC_SPECIES
P 30.97 P.upf
Al 26.98 Al.upf
N 14.01 N.upf
CELL_PARAMETERS angstrom
-1.875 -0.752 3.755
-0.323 -4.135 -0.990
5.441 1.625 0.621
ATOMIC_POSITIONS crystal
P 0.250 0.750 0.500
P 0.000 0.000 0.000
Al 0.750 0.250 0.500
Al 0.500 0.500 0.000
N 0.373 0.875 0.250
N 0.877 0.375 0.250
N 0.125 0.123 0.750
N 0.625 0.627 0.750
```

Energy relative to the lowest polymorph listed for this composition in meV per atom: 438.2
ΔE_f (raw) in eV per atom: -0.09
Total magnetic moment in μB per cell: 0.00

=====

Record 2
KAlCo2Rh | PBEsol | relaxed Values from VASP.

```
&SYSTEM
  ibrav = 0, nat = 5, ntyp = 4
/
ATOMIC_SPECIES
Co 58.93 Co.upf
K 39.10 K.upf
Rh 102.91 Rh.upf
Al 26.98 Al.upf
CELL_PARAMETERS angstrom
4.673 0.000 0.000
0.000 4.699 0.000
0.000 0.000 4.699
ATOMIC_POSITIONS crystal
Co 0.000 0.000 0.500
Co 0.000 0.500 0.000
K 0.500 0.500 0.500
Rh 0.000 0.000 0.000
Al 0.500 0.000 0.000
```

Total magnetic moment in μB per cell: 4.47
Formation enthalpy at 0 K in eV/atom: 0.79

=====

Record 3
BiP2SeO | PBEsol | relaxed Values from VASP.

```
&SYSTEM
  ibrav = 0, nat = 5, ntyp = 4
/
ATOMIC_SPECIES
O 16.00 O.upf
P 30.97 P.upf
Bi 208.98 Bi.upf
Se 78.96 Se.upf
CELL_PARAMETERS angstrom
-1.761 -0.353 -3.322
4.189 -1.458 -2.066
-1.090 -4.649 1.071
ATOMIC_POSITIONS crystal
O 0.500 0.000 0.000
P 0.000 0.000 0.500
P 0.000 0.500 0.000
Bi 0.500 0.500 0.500
Se 0.000 0.000 0.000
```

ΔE_f (raw) in eV per atom: 0.27
Total magnetic moment in μB per cell: 0.00

=====

Record 4
ScCuBi3 | PBEsol | relaxed Values from VASP.

```
&SYSTEM
  ibrav = 0, nat = 5, ntyp = 3
/
ATOMIC_SPECIES
Sc 44.96 Sc.upf
Bi 208.98 Bi.upf
Cu 63.55 Cu.upf
CELL_PARAMETERS angstrom
5.171 0.000 0.000
0.000 5.171 0.000
0.000 0.000 5.171
ATOMIC_POSITIONS crystal
Sc 0.500 0.500 0.500
Bi 0.000 0.500 0.000
Bi 0.000 0.000 0.500
Bi 0.500 0.000 0.000
Cu 0.000 0.000 0.000
```

Total magnetic moment in μB per cell: 0.00
Formation enthalpy at 0 K in eV/atom: 0.27

=====

Record 5
VAg3O4 | PBEsol | relaxed Values from VASP.

```
&SYSTEM
  ibrav = 0, nat = 8, ntyp = 3
/
ATOMIC_SPECIES
O 16.00 O.upf
Ag 107.87 Ag.upf
V 50.94 V.upf
CELL_PARAMETERS angstrom
-4.536 -0.860 1.690
1.809 -3.280 3.185
1.928 5.597 0.873
ATOMIC_POSITIONS crystal
O 0.306 0.306 0.205
O 0.899 0.899 0.205
O 0.694 0.101 0.795
O 0.101 0.694 0.795
Ag 0.500 0.500 0.000
Ag 0.750 0.250 0.500
Ag 0.250 0.750 0.500
V 0.000 0.000 0.000
```

Energy relative to the lowest polymorph listed for this composition in meV per atom: 53.2
ΔE_f (raw) in eV per atom: -1.03
Total magnetic moment in μB per cell: 0.00

=====

Record 6
CaAlAsAu2 | PBEsol | relaxed Values from VASP.

```
&SYSTEM
  ibrav = 0, nat = 5, ntyp = 4
/
ATOMIC_SPECIES
As 74.92 As.upf
Au 196.97 Au.upf
Ca 40.08 Ca.upf
Al 26.98 Al.upf
CELL_PARAMETERS angstrom
-0.610 0.811 4.639
-0.188 -4.962 0.843
4.991 -0.076 0.669
ATOMIC_POSITIONS crystal
As 0.000 0.000 0.000
Au 0.000 0.000 0.500
Au 0.000 0.500 0.000
Ca 0.500 0.500 0.500
Al 0.500 0.000 0.000
```

Total magnetic moment in μB per cell: 0.00
Formation enthalpy at 0 K in eV/atom: 0.07

=====

Record 7
LiCd | PBEsol | relaxed Values from VASP.

```
&SYSTEM
  ibrav = 0, nat = 2, ntyp = 2
/
ATOMIC_SPECIES
Cd 112.41 Cd.upf
Li 6.94 Li.upf
CELL_PARAMETERS angstrom
3.021 0.000 0.000
-1.511 2.617 0.000
0.000 0.000 4.723
ATOMIC_POSITIONS crystal
Cd 0.000 0.000 0.000
Li 0.333 0.667 0.500
```

Total magnetic moment in μB per cell: 0.00
Formation enthalpy at 0 K in eV/atom: -0.17

=====

Record 8
Ta8Mn | PBEsol | relaxed Values from VASP.

```
&SYSTEM
  ibrav = 0, nat = 9, ntyp = 2
/
ATOMIC_SPECIES
Mn 54.94 Mn.upf
Ta 180.95 Ta.upf
CELL_PARAMETERS angstrom
3.213 0.000 0.000
1.606 6.867 0.000
1.606 0.000 6.867
ATOMIC_POSITIONS crystal
Mn 0.000 0.000 0.000
Ta 0.341 0.000 0.319
Ta 0.659 0.000 0.681
Ta 0.667 0.333 0.333
Ta 0.341 0.319 0.000
Ta 0.000 0.333 0.667
Ta 0.659 0.681 0.000
Ta 0.333 0.667 0.667
Ta 0.000 0.667 0.333
```

Total magnetic moment in μB per cell: 0.00
Formation enthalpy at 0 K in eV/atom: -0.01

=====

Record 9
MgSc3 | PBEsol | relaxed Values from VASP.

```
&SYSTEM
  ibrav = 0, nat = 4, ntyp = 2
/
ATOMIC_SPECIES
Sc 44.96 Sc.upf
Mg 24.30 Mg.upf
CELL_PARAMETERS angstrom
3.010 0.000 0.000
-1.003 5.974 0.000
-1.003 -2.987 5.173
ATOMIC_POSITIONS crystal
Sc 0.500 0.000 0.500
Sc 0.500 0.500 0.000
Sc 0.000 0.500 0.500
Mg 0.000 0.000 0.000
```

Energy relative to the lowest polymorph listed for this composition in meV per atom: 82.7
Total magnetic moment in μB per cell: 0.00
Formation enthalpy at 0 K in eV/atom: 0.08

=====

Record 10
Ag6Pt7 | PBEsol | relaxed Values from VASP.

```
&SYSTEM
  ibrav = 0, nat = 13, ntyp = 2
/
ATOMIC_SPECIES
Ag 107.87 Ag.upf
Pt 195.08 Pt.upf
CELL_PARAMETERS angstrom
-0.451 -2.763 -4.438
4.102 -2.713 -1.830
-1.425 -9.026 2.663
ATOMIC_POSITIONS crystal
Ag 0.950 0.950 0.150
Ag 0.050 0.050 0.850
Ag 0.847 0.847 0.458
Ag 0.153 0.153 0.542
Ag 0.666 0.666 0.001
Ag 0.334 0.334 0.999
Pt 0.410 0.410 0.265
Pt 0.915 0.410 0.265
Pt 0.410 0.915 0.265
Pt 0.590 0.590 0.735
Pt 0.590 0.085 0.735
Pt 0.085 0.590 0.735
Pt 0.500 0.500 0.500
```

Total magnetic moment in μB per cell: 0.00
Formation enthalpy at 0 K in eV/atom: 0.06

=====

Record 11
Hg2IrCl | PBEsol | relaxed Values from VASP.

```
&SYSTEM
  ibrav = 0, nat = 4, ntyp = 3
/
ATOMIC_SPECIES
Ir 192.22 Ir.upf
Hg 200.59 Hg.upf
Cl 35.45 Cl.upf
CELL_PARAMETERS angstrom
3.189 0.000 0.000
1.594 2.762 0.000
1.594 0.921 8.760
ATOMIC_POSITIONS crystal
Ir 0.505 0.505 0.484
Hg 0.000 0.000 0.000
Hg 0.760 0.760 0.721
Cl 0.235 0.235 0.295
```

Energy relative to the lowest polymorph listed for this composition in meV per atom: 64.3
ΔE_f (raw) in eV per atom: 0.43
Total magnetic moment in μB per cell: 0.55

=====

Record 12
YZnP2 | PBEsol | relaxed Values from VASP.

```
&SYSTEM
  ibrav = 0, nat = 4, ntyp = 3
/
ATOMIC_SPECIES
P 30.97 P.upf
Y 88.91 Y.upf
Zn 65.41 Zn.upf
CELL_PARAMETERS angstrom
3.511 0.000 0.000
0.000 3.511 0.000
0.000 0.000 5.558
ATOMIC_POSITIONS crystal
P 0.000 0.000 0.711
P 0.000 0.000 0.289
Y 0.500 0.500 0.000
Zn 0.500 0.500 0.500
```

Total magnetic moment in μB per cell: 0.00
Formation enthalpy at 0 K in eV/atom: -0.49

=====

Number 1: VASP energy -6.820 eV per atom. Number 2: VASP energy -4.976 eV per atom. Number 3: VASP energy -4.721 eV per atom. Number 4: VASP energy -4.487 eV per atom. Number 5: VASP energy -6.096 eV per atom. Number 6: VASP energy -3.768 eV per atom. Number 7: VASP energy -1.748 eV per atom. Number 8: VASP energy -12.249 eV per atom. Number 9: VASP energy -5.307 eV per atom. Number 10: VASP energy -5.220 eV per atom. Number 11: VASP energy -2.813 eV per atom. Number 12: VASP energy -5.484 eV per atom.